{
  "formula": "K2NbHg",
  "functional": "PBE",
  "state": "relaxed",
  "spacegroup": "No. 122",
  "delta_e_f_ev_per_atom": 0.9792,
  "magnetic_moment_mub_per_cell": 17.6,
  "lattice": [[10.8848, 0.0000, 0.0000], [0.0000, 10.8848, 0.0000], [0.0000, 0.0000, 5.7933]],
  "species": ["K", "K", "K", "K", "K", "K", "K", "K", "Nb", "Nb", "Nb", "Nb", "Hg", "Hg", "Hg", "Hg"],
  "fractional_positions": [[0.1561, 0.2500, 0.1250], [0.2500, 0.6561, 0.3750], [0.2500, 0.8439, 0.8750], [0.3439, 0.2500, 0.6250], [0.6561, 0.7500, 0.6250], [0.7500, 0.1561, 0.8750], [0.7500, 0.3439, 0.3750], [0.8439, 0.7500, 0.1250], [0.0000, 0.0000, 0.5000], [0.0000, 0.5000, 0.7500], [0.5000, 0.0000, 0.2500], [0.5000, 0.5000, 0.0000], [0.0000, 0.0000, 0.0000], [0.0000, 0.5000, 0.2500], [0.5000, 0.0000, 0.7500], [0.5000, 0.5000, 0.5000]]
}

=====

{
  "formula": "KNbHg",
  "functional": "PBE",
  "state": "relaxed",
  "spacegroup": "No. 2",
  "delta_e_f_ev_per_atom": 0.4868,
  "magnetic_moment_mub_per_cell": 0.0,
  "lattice": [[4.7639, 0.0000, 0.0000], [0.4764, 5.6564, 0.0000], [0.4210, 1.0924, 6.9053]],
  "species": ["K", "K", "Nb", "Nb", "Hg", "Hg"],
  "fractional_positions": [[0.2415, 0.2506, 0.4144], [0.7585, 0.7494, 0.5856], [0.2126, 0.8994, 0.9887], [0.7874, 0.1006, 0.0113], [0.2690, 0.4112, 0.8786], [0.7310, 0.5888, 0.1214]]
}

=====

{
  "formula": "KNbHg",
  "functional": "PBE",
  "state": "relaxed",
  "spacegroup": "No. 216",
  "delta_e_f_ev_per_atom": 1.2401,
  "magnetic_moment_mub_per_cell": 16.0,
  "lattice": [[7.3761, 0.0000, 0.0000], [0.0000, 7.3761, 0.0000], [0.0000, 0.0000, 7.3761]],
  "species": ["K", "K", "K", "K", "Nb", "Nb", "Nb", "Nb", "Hg", "Hg", "Hg", "Hg"],
  "fractional_positions": [[0.0000, 0.0000, 0.0000], [0.0000, 0.5000, 0.5000], [0.5000, 0.0000, 0.5000], [0.5000, 0.5000, 0.0000], [0.0000, 0.0000, 0.5000], [0.0000, 0.5000, 0.0000], [0.5000, 0.0000, 0.0000], [0.5000, 0.5000, 0.5000], [0.2500, 0.2500, 0.2500], [0.2500, 0.7500, 0.7500], [0.7500, 0.2500, 0.7500], [0.7500, 0.7500, 0.2500]]
}

=====

{
  "formula": "KNbHg",
  "functional": "PBE",
  "state": "relaxed",
  "spacegroup": "No. 194",
  "delta_e_f_ev_per_atom": 1.5455,
  "magnetic_moment_mub_per_cell": 9.2,
  "lattice": [[5.7222, 0.0000, 0.0000], [-2.8611, 4.9556, 0.0000], [0.0000, 0.0000, 11.3383]],
  "species": ["K", "K", "Nb", "Nb", "Hg", "Hg"],
  "fractional_positions": [[0.3333, 0.6667, 0.2500], [0.6667, 0.3333, 0.7500], [0.0000, 0.0000, 0.0000], [0.0000, 0.0000, 0.5000], [0.0000, 0.0000, 0.2500], [0.0000, 0.0000, 0.7500]]
}